1.
# PuCd4Pd2 PBE optimized geometry
# formation energy: -211 meV/atom
# calculated volume: 20.98 Å³ per atom
# total energy: -4.265 eV/atom
data_PuCd4Pd2
_cell_length_a 4.679
_cell_length_b 18.936
_cell_length_c 3.315
_cell_angle_alpha 90.00
_cell_angle_beta 90.00
_cell_angle_gamma 90.00
_space_group_name_H-M_alt 'C m m m'
_space_group_IT_number 65
_space_group_name_Hall '-C 2 2'
loop_
_atom_site_label
_atom_site_type_symbol
_atom_site_fract_x
_atom_site_fract_y
_atom_site_fract_z
Pu1 Pu 0.000 0.000 0.000
Cd1 Cd 0.000 0.157 0.500
Cd2 Cd 0.000 0.305 0.000
Pd1 Pd 0.000 0.429 0.500



2.
# AlSe4Br PBE optimized geometry
# ΔE_f (raw): 0.46 eV per atom
# calculated volume: 23.00 Å³ per atom
# total energy: -2.766 eV/atom
data_AlSe4Br
_cell_length_a 8.203
_cell_length_b 8.203
_cell_length_c 8.203
_cell_angle_alpha 90.00
_cell_angle_beta 90.00
_cell_angle_gamma 90.00
_space_group_name_H-M_alt 'F -4 3 m'
_space_group_IT_number 216
_space_group_name_Hall 'F -4 2 3'
loop_
_atom_site_label
_atom_site_type_symbol
_atom_site_fract_x
_atom_site_fract_y
_atom_site_fract_z
Al1 Al 0.000 0.000 0.000
Se1 Se 0.130 0.130 0.370
Br1 Br 0.250 0.250 0.750



3.
# LuCdAu2 PBE optimized geometry
# formation energy: -621 meV/atom
# calculated volume: 20.83 Å³ per atom
# total energy: -3.619 eV/atom
data_LuCdAu2
_cell_length_a 3.538
_cell_length_b 3.538
_cell_length_c 6.656
_cell_angle_alpha 90.00
_cell_angle_beta 90.00
_cell_angle_gamma 90.00
_space_group_name_H-M_alt 'P 4/m m m'
_space_group_IT_number 123
_space_group_name_Hall '-P 4 2'
loop_
_atom_site_label
_atom_site_type_symbol
_atom_site_fract_x
_atom_site_fract_y
_atom_site_fract_z
Lu1 Lu 0.000 0.000 0.000
Cd1 Cd 0.000 0.000 0.500
Au1 Au 0.500 0.500 0.243



4.
# U2ZnTc PBE optimized geometry
# formation energy: 80 meV/atom
# calculated volume: 18.09 Å³ per atom
# total energy: -8.474 eV/atom
data_U2ZnTc
_cell_length_a 4.111
_cell_length_b 4.111
_cell_length_c 4.282
_cell_angle_alpha 90.00
_cell_angle_beta 90.00
_cell_angle_gamma 90.00
_space_group_name_H-M_alt 'P 4/m m m'
_space_group_IT_number 123
_space_group_name_Hall '-P 4 2'
loop_
_atom_site_label
_atom_site_type_symbol
_atom_site_fract_x
_atom_site_fract_y
_atom_site_fract_z
U1 U 0.000 0.500 0.000
Zn1 Zn 0.000 0.000 0.500
Tc1 Tc 0.500 0.500 0.500



5.
# AgPNF2 PBE optimized geometry
# ΔE_f (raw): 0.68 eV per atom
# calculated volume: 15.23 Å³ per atom
# total energy: -3.382 eV/atom
data_AgPNF2
_cell_length_a 4.208
_cell_length_b 4.208
_cell_length_c 4.301
_cell_angle_alpha 90.00
_cell_angle_beta 90.00
_cell_angle_gamma 90.00
_space_group_name_H-M_alt 'P 4/m m m'
_space_group_IT_number 123
_space_group_name_Hall '-P 4 2'
loop_
_atom_site_label
_atom_site_type_symbol
_atom_site_fract_x
_atom_site_fract_y
_atom_site_fract_z
Ag1 Ag 0.000 0.000 0.000
P1 P 0.500 0.500 0.500
N1 N 0.000 0.000 0.500
F1 F 0.000 0.500 0.000



6.
# Ba2AcGeO5 PBE optimized geometry
# ΔE_f (raw): -2.15 eV per atom
# calculated volume: 17.41 Å³ per atom
# total energy: -6.299 eV/atom
data_Ba2AcGeO5
_cell_length_a 7.034
_cell_length_b 7.034
_cell_length_c 6.335
_cell_angle_alpha 90.00
_cell_angle_beta 90.00
_cell_angle_gamma 90.00
_space_group_name_H-M_alt 'P 4/m b m'
_space_group_IT_number 127
_space_group_name_Hall '-P 4 2ab'
loop_
_atom_site_label
_atom_site_type_symbol
_atom_site_fract_x
_atom_site_fract_y
_atom_site_fract_z
Ba1 Ba 0.172 0.328 0.000
Ac1 Ac 0.000 0.000 0.500
Ge1 Ge 0.000 0.500 0.500
O1 O 0.000 0.000 0.000
O2 O 0.139 0.639 0.297



7.
# Pm3Pr3Dy2 PBE optimized geometry
# formation energy: 31 meV/atom
# calculated volume: 34.66 Å³ per atom
# total energy: -4.693 eV/atom
data_Pm3Pr3Dy2
_cell_length_a 5.889
_cell_length_b 14.774
_cell_length_c 6.375
_cell_angle_alpha 90.00
_cell_angle_beta 90.00
_cell_angle_gamma 90.00
_space_group_name_H-M_alt 'P m m n'
_space_group_IT_number 59
loop_
_space_group_symop_operation_xyz
'x,y,z'
'-x,-y,-z'
'-x+1/2,-y+1/2,z'
'x+1/2,y+1/2,-z'
'x+1/2,-y,-z'
'-x+1/2,y,z'
'-x,y+1/2,-z'
'x,-y+1/2,z'
loop_
_atom_site_label
_atom_site_type_symbol
_atom_site_fract_x
_atom_site_fract_y
_atom_site_fract_z
Pm1 Pm 0.250 0.125 0.168
Pm2 Pm 0.250 0.750 0.662
Pr1 Pr 0.250 0.000 0.668
Pr2 Pr 0.250 0.250 0.672
Dy1 Dy 0.250 0.626 0.163



8.
# LiTiNb4N8 PBE optimized geometry
# ΔE_f (raw): -0.80 eV per atom
# calculated volume: 11.99 Å³ per atom
# total energy: -9.133 eV/atom
data_LiTiNb4N8
_cell_length_a 6.2009
_cell_length_b 6.2009
_cell_length_c 15.1270
_cell_angle_alpha 90.00
_cell_angle_beta 90.00
_cell_angle_gamma 120.00
_space_group_name_H-M_alt 'R 3 m'
_space_group_IT_number 160
_space_group_name_Hall 'R 3 -2"'
loop_
_atom_site_label
_atom_site_type_symbol
_atom_site_fract_x
_atom_site_fract_y
_atom_site_fract_z
Li1 Li 0.0000 0.0000 0.0000
Ti1 Ti 0.0000 0.0000 0.6214
Nb1 Nb 0.0000 0.0000 0.3790
Nb2 Nb 0.0042 0.5021 0.5008
N1 N 0.0000 0.0000 0.2449
N2 N 0.0000 0.0000 0.7537
N3 N 0.0123 0.5062 0.7542
N4 N 0.1685 0.3370 0.5746



9.
# RbBaCl PBE optimized geometry
# ΔE_f (raw): -1.14 eV per atom
# calculated volume: 49.75 Å³ per atom
# total energy: -2.715 eV/atom
data_RbBaCl
_cell_length_a 4.5244
_cell_length_b 4.5244
_cell_length_c 8.4190
_cell_angle_alpha 90.00
_cell_angle_beta 90.00
_cell_angle_gamma 120.00
_space_group_name_H-M_alt 'P 3 m 1'
_space_group_IT_number 156
_space_group_name_Hall 'P 3 -2"'
loop_
_atom_site_label
_atom_site_type_symbol
_atom_site_fract_x
_atom_site_fract_y
_atom_site_fract_z
Rb1 Rb 0.0000 0.0000 0.0000
Ba1 Ba 0.6667 0.3333 0.4850
Cl1 Cl 0.3333 0.6667 0.7344



10.
# P2AuF PBE optimized geometry
# ΔE_f (raw): -0.03 eV per atom
# calculated volume: 14.17 Å³ per atom
# total energy: -4.019 eV/atom
data_P2AuF
_cell_length_a 6.098
_cell_length_b 6.098
_cell_length_c 6.098
_cell_angle_alpha 90.00
_cell_angle_beta 90.00
_cell_angle_gamma 90.00
_space_group_name_H-M_alt 'F m -3 m'
_space_group_IT_number 225
_space_group_name_Hall '-F 4 2 3'
loop_
_atom_site_label
_atom_site_type_symbol
_atom_site_fract_x
_atom_site_fract_y
_atom_site_fract_z
P1 P 0.250 0.250 0.250
Au1 Au 0.000 0.000 0.000
F1 F 0.000 0.000 0.500



11.
# CdPb2 PBE optimized geometry
# formation energy: 66 meV/atom
# calculated volume: 29.18 Å³ per atom
# total energy: -2.712 eV/atom
data_CdPb2
_cell_length_a 3.878
_cell_length_b 3.878
_cell_length_c 11.641
_cell_angle_alpha 90.00
_cell_angle_beta 90.00
_cell_angle_gamma 90.00
_space_group_name_H-M_alt 'I 4/m m m'
_space_group_IT_number 139
_space_group_name_Hall '-I 4 2'
loop_
_atom_site_label
_atom_site_type_symbol
_atom_site_fract_x
_atom_site_fract_y
_atom_site_fract_z
Cd1 Cd 0.000 0.000 0.000
Pb1 Pb 0.000 0.000 0.343



12.
# Ti5Nb2Zn PBE optimized geometry
# formation energy: 61 meV/atom
# calculated volume: 17.26 Å³ per atom
# total energy: -7.550 eV/atom
data_Ti5Nb2Zn
_cell_length_a 7.046
_cell_length_b 7.046
_cell_length_c 11.124
_cell_angle_alpha 90.00
_cell_angle_beta 90.00
_cell_angle_gamma 90.00
_space_group_name_H-M_alt 'I 4/m c m'
_space_group_IT_number 140
_space_group_name_Hall '-I 4 2c'
loop_
_atom_site_label
_atom_site_type_symbol
_atom_site_fract_x
_atom_site_fract_y
_atom_site_fract_z
Ti1 Ti 0.000 0.000 0.000
Ti2 Ti 0.146 0.354 0.164
Nb1 Nb 0.158 0.342 0.500
Zn1 Zn 0.000 0.000 0.250



Q: The lowest total energy belongs to which entry?
A: LiTiNb4N8



Q: The lowest total energy belongs to which entry?
A: LiTiNb4N8



Copy entry 4 word for word.
# U2ZnTc PBE optimized geometry
# formation energy: 80 meV/atom
# calculated volume: 18.09 Å³ per atom
# total energy: -8.474 eV/atom
data_U2ZnTc
_cell_length_a 4.111
_cell_length_b 4.111
_cell_length_c 4.282
_cell_angle_alpha 90.00
_cell_angle_beta 90.00
_cell_angle_gamma 90.00
_space_group_name_H-M_alt 'P 4/m m m'
_space_group_IT_number 123
_space_group_name_Hall '-P 4 2'
loop_
_atom_site_label
_atom_site_type_symbol
_atom_site_fract_x
_atom_site_fract_y
_atom_site_fract_z
U1 U 0.000 0.500 0.000
Zn1 Zn 0.000 0.000 0.500
Tc1 Tc 0.500 0.500 0.500